(1)
The following is a PBE calculation of CePu2Ru2 after structural relaxation, from the Alexandria database.

Its magnetic moment is 41.865 μB/cell.

The space group is Cmc2_1 (No. 36) and the conventional cell measures 4.3424, 18.1030 and 5.5629 Å, with angles of 90.00, 90.00 and 90.00 degrees. The inequivalent atoms are Ce at (0.0000, 0.1301, 0.0000), Pu at (0.0000, 0.3215, 0.0051), Pu at (0.0000, 0.4961, 0.7464), Ru at (0.0000, 0.0897, 0.5052) and Ru at (0.0000, 0.2579, 0.5032).

(2)
The following is a PBE calculation of CePu2Ru2 after structural relaxation, from the Alexandria database.

Its magnetic moment is 0.065 μB/cell.

The space group is P2_1/m (No. 11) and the conventional cell measures 5.5957, 4.5330 and 9.0942 Å, with angles of 90.00, 106.82 and 90.00 degrees. The inequivalent atoms are Ce at (0.2314, 0.2500, 0.2445), Pu at (0.1741, 0.7500, 0.5308), Pu at (0.2748, 0.2500, 0.8771), Ru at (0.2048, 0.7500, 0.0564) and Ru at (0.4548, 0.2500, 0.6141).

Which structure is the most stable? The one labeled (2).

(1)
The following is a PBE calculation of Ce4PuRu after structural relaxation, from the Alexandria database.

Its magnetic moment is 0.000 μB/cell.

The space group is C2/c (No. 15) and the conventional cell measures 8.7838, 14.0862 and 6.1065 Å, with angles of 90.00, 130.96 and 90.00 degrees. The inequivalent atoms are Ce at (0.1637, 0.1785, 0.1515), Ce at (0.1794, 0.4244, 0.1539), Pu at (0.0000, 0.3040, 0.7500) and Ru at (0.0000, 0.0140, 0.2500).

(2)
The following is a PBE calculation of Ce4PuRu after structural relaxation, from the Alexandria database.

Its magnetic moment is 22.499 μB/cell.

The space group is P2_1/c (No. 14) and the conventional cell measures 6.7001, 8.5058 and 12.1846 Å, with angles of 90.00, 121.58 and 90.00 degrees. The inequivalent atoms are Ce at (0.1067, 0.1825, 0.0828), Ce at (0.1865, 0.0996, 0.8324), Ce at (0.3155, 0.5886, 0.1088), Ce at (0.3665, 0.7343, 0.3732), Pu at (0.2014, 0.0126, 0.3685) and Ru at (0.3279, 0.5587, 0.6352).

Which structure is the most stable? The one labeled (1).

(1)
The following is a PBE calculation of Ce2Pu2S7 after structural relaxation, from the Alexandria database.

Its magnetic moment is 80.061 μB/cell.

The space group is Fd-3m (No. 227, origin choice 2) and the conventional cell measures 13.0329, 13.0329 and 13.0329 Å, with angles of 90.00, 90.00 and 90.00 degrees. The inequivalent atoms are Ce at (0.0000, 0.0000, 0.0000), Pu at (0.0000, 0.0000, 0.5000), S at (0.1064, 0.3750, 0.8750) and S at (0.1250, 0.1250, 0.1250).

(2)
The following is a PBE calculation of Ce2Pu2S7 after structural relaxation, from the Alexandria database.

Its magnetic moment is 10.074 μB/cell.

The space group is P-4m2 (No. 115) and the conventional cell measures 4.6435, 4.6435 and 12.9216 Å, with angles of 90.00, 90.00 and 90.00 degrees. The inequivalent atoms are Ce at (0.0000, 0.5000, 0.1257), Pu at (0.0000, 0.5000, 0.6360), S at (0.0000, 0.0000, 0.0000), S at (0.0000, 0.0000, 0.2664), S at (0.5000, 0.5000, 0.0000), S at (0.5000, 0.5000, 0.2480) and S at (0.5000, 0.5000, 0.5000).

Which structure is the most stable? The one labeled (1).

(1)
The following is a PBE calculation of CePuS4 after structural relaxation, from the Alexandria database.

Its magnetic moment is 4.001 μB/cell.

The space group is P4/mmm (No. 123) and the conventional cell measures 4.5978, 4.5978 and 6.5092 Å, with angles of 90.00, 90.00 and 90.00 degrees. The inequivalent atoms are Ce at (0.0000, 0.0000, 0.0000), Pu at (0.5000, 0.5000, 0.5000) and S at (0.0000, 0.5000, 0.2550).

(2)
The following is a PBE calculation of CePuS4 after structural relaxation, from the Alexandria database.

Its magnetic moment is 8.009 μB/cell.

The space group is I-4m2 (No. 119) and the conventional cell measures 5.2687, 5.2687 and 12.8758 Å, with angles of 90.00, 90.00 and 90.00 degrees. The inequivalent atoms are Ce at (0.0000, 0.0000, 0.0000), Pu at (0.0000, 0.5000, 0.7500), S at (0.0000, 0.0000, 0.2162) and S at (0.0000, 0.5000, 0.5442).

Which structure is the most stable? The one labeled (1).

(1)
The following is a PBE calculation of Ce3PuS4 after structural relaxation, from the Alexandria database.

Its magnetic moment is 9.707 μB/cell.

The space group is P2/c (No. 13) and the conventional cell measures 6.9284, 8.0069 and 6.9183 Å, with angles of 90.00, 109.48 and 90.00 degrees. The inequivalent atoms are Ce at (0.0000, 0.1243, 0.2500), Ce at (0.0000, 0.3756, 0.7500), Ce at (0.5000, 0.1242, 0.7500), Pu at (0.5000, 0.3755, 0.2500), S at (0.2522, 0.1282, 0.0021) and S at (0.2554, 0.3775, 0.5003).

(2)
The following is a PBE calculation of Ce3PuS4 after structural relaxation, from the Alexandria database.

Its magnetic moment is 4.192 μB/cell.

The space group is Pm-3m (No. 221) and the conventional cell measures 5.6605, 5.6605 and 5.6605 Å, with angles of 90.00, 90.00 and 90.00 degrees. The inequivalent atoms are Ce at (0.0000, 0.0000, 0.5000), Pu at (0.5000, 0.5000, 0.5000), S at (0.0000, 0.0000, 0.0000) and S at (0.0000, 0.5000, 0.5000).

Which structure is the most stable? The one labeled (1).

(1)
The following is a PBE calculation of CePuSb2 after structural relaxation, from the Alexandria database.

Its magnetic moment is 18.032 μB/cell.

The space group is R3m (No. 160, hexagonal axes) and the conventional cell measures 4.4049, 4.4049 and 22.8765 Å, with angles of 90.00, 90.00 and 120.00 degrees. The inequivalent atoms are Ce at (0.0000, 0.0000, 0.0000), Pu at (0.0000, 0.0000, 0.8298), Sb at (0.0000, 0.0000, 0.2457) and Sb at (0.0000, 0.0000, 0.4174).

(2)
The following is a PBE calculation of CePuSb2 after structural relaxation, from the Alexandria database.

Its magnetic moment is 17.921 μB/cell.

The space group is R-3m (No. 166, hexagonal axes) and the conventional cell measures 4.4761, 4.4761 and 21.7265 Å, with angles of 90.00, 90.00 and 120.00 degrees. The inequivalent atoms are Ce at (0.0000, 0.0000, 0.0000), Pu at (0.0000, 0.0000, 0.5000) and Sb at (0.0000, 0.0000, 0.2489).

(3)
The following is a PBE calculation of CePuSb2 after structural relaxation, from the Alexandria database.

Its magnetic moment is 18.940 μB/cell.

The space group is Cmcm (No. 63) and the conventional cell measures 4.3477, 24.3256 and 4.6100 Å, with angles of 90.00, 90.00 and 90.00 degrees. The inequivalent atoms are Ce at (0.0000, 0.1851, 0.2500), Pu at (0.0000, 0.4463, 0.2500), Sb at (0.0000, 0.0560, 0.2500) and Sb at (0.0000, 0.3157, 0.2500).

(4)
The following is a PBE calculation of CePuSb2 after structural relaxation, from the Alexandria database.

Its magnetic moment is 6.789 μB/cell.

The space group is P4/mmm (No. 123) and the conventional cell measures 5.7571, 5.7571 and 3.2941 Å, with angles of 90.00, 90.00 and 90.00 degrees. The inequivalent atoms are Ce at (0.0000, 0.0000, 0.0000), Pu at (0.5000, 0.5000, 0.0000) and Sb at (0.0000, 0.5000, 0.5000).

Which structure is the most stable? The one labeled (2).

(1)
The following is a PBE calculation of CePuSb2 after structural relaxation, from the Alexandria database.

Its magnetic moment is 24.185 μB/cell.

The space group is Fm-3m (No. 225) and the conventional cell measures 7.6197, 7.6197 and 7.6197 Å, with angles of 90.00, 90.00 and 90.00 degrees. The inequivalent atoms are Ce at (0.0000, 0.0000, 0.0000), Pu at (0.0000, 0.0000, 0.5000) and Sb at (0.2500, 0.2500, 0.2500).

(2)
The following is a PBE calculation of CePuSb2 after structural relaxation, from the Alexandria database.

Its magnetic moment is 11.921 μB/cell.

The space group is Pmmn (No. 59, origin choice 2) and the conventional cell measures 4.4789, 6.3113 and 8.8968 Å, with angles of 90.00, 90.00 and 90.00 degrees. The inequivalent atoms are Ce at (0.2500, 0.2500, 0.1271), Pu at (0.2500, 0.2500, 0.6244), Sb at (0.2500, 0.7500, 0.1259) and Sb at (0.2500, 0.7500, 0.6223).

Which structure is the most stable? The one labeled (2).

(1)
The following is a PBE calculation of Ce3PuSb4 after structural relaxation, from the Alexandria database.

Its magnetic moment is 7.816 μB/cell.

The space group is Pm-3m (No. 221) and the conventional cell measures 6.3394, 6.3394 and 6.3394 Å, with angles of 90.00, 90.00 and 90.00 degrees. The inequivalent atoms are Ce at (0.0000, 0.0000, 0.5000), Pu at (0.5000, 0.5000, 0.5000), Sb at (0.0000, 0.0000, 0.0000) and Sb at (0.0000, 0.5000, 0.5000).

(2)
The following is a PBE calculation of Ce3PuSb4 after structural relaxation, from the Alexandria database.

Its magnetic moment is 6.749 μB/cell.

The space group is Cmmm (No. 65) and the conventional cell measures 8.9561, 12.6809 and 4.4847 Å, with angles of 90.00, 90.00 and 90.00 degrees. The inequivalent atoms are Ce at (0.0000, 0.0000, 0.0000), Ce at (0.2500, 0.2500, 0.5000), Pu at (0.0000, 0.5000, 0.0000), Sb at (0.0000, 0.2506, 0.0000) and Sb at (0.2480, 0.5000, 0.5000).

Which structure is the most stable? The one labeled (1).

(1)
The following is a PBE calculation of Ce2PuSb after structural relaxation, from the Alexandria database.

Its magnetic moment is 7.618 μB/cell.

The space group is P4/mmm (No. 123) and the conventional cell measures 4.7634, 4.7634 and 4.6313 Å, with angles of 90.00, 90.00 and 90.00 degrees. The inequivalent atoms are Ce at (0.0000, 0.5000, 0.0000), Pu at (0.0000, 0.0000, 0.5000) and Sb at (0.5000, 0.5000, 0.5000).

(2)
The following is a PBE calculation of Ce2PuSb after structural relaxation, from the Alexandria database.

Its magnetic moment is 8.321 μB/cell.

The space group is P4/mmm (No. 123) and the conventional cell measures 4.0273, 4.0273 and 6.7603 Å, with angles of 90.00, 90.00 and 90.00 degrees. The inequivalent atoms are Ce at (0.0000, 0.0000, 0.2424), Pu at (0.5000, 0.5000, 0.5000) and Sb at (0.5000, 0.5000, 0.0000).

(3)
The following is a PBE calculation of Ce2PuSb after structural relaxation, from the Alexandria database.

Its magnetic moment is 34.853 μB/cell.

The space group is Fm-3m (No. 225) and the conventional cell measures 7.5571, 7.5571 and 7.5571 Å, with angles of 90.00, 90.00 and 90.00 degrees. The inequivalent atoms are Ce at (0.2500, 0.2500, 0.2500), Pu at (0.0000, 0.0000, 0.0000) and Sb at (0.0000, 0.0000, 0.5000).

Which structure is the most stable? The one labeled (1).

(1)
The following is a PBE calculation of CePu2Sb after structural relaxation, from the Alexandria database.

Its magnetic moment is 34.302 μB/cell.

The space group is R-3m (No. 166, hexagonal axes) and the conventional cell measures 4.1815, 4.1815 and 20.2105 Å, with angles of 90.00, 90.00 and 120.00 degrees. The inequivalent atoms are Ce at (0.0000, 0.0000, 0.0000), Pu at (0.0000, 0.0000, 0.2612) and Sb at (0.0000, 0.0000, 0.5000).

(2)
The following is a PBE calculation of CePu2Sb after structural relaxation, from the Alexandria database.

Its magnetic moment is 56.115 μB/cell.

The space group is Fm-3m (No. 225) and the conventional cell measures 7.4572, 7.4572 and 7.4572 Å, with angles of 90.00, 90.00 and 90.00 degrees. The inequivalent atoms are Ce at (0.0000, 0.0000, 0.0000), Pu at (0.2500, 0.2500, 0.2500) and Sb at (0.0000, 0.0000, 0.5000).

(3)
The following is a PBE calculation of CePu2Sb after structural relaxation, from the Alexandria database.

Its magnetic moment is 13.050 μB/cell.

The space group is P4/mmm (No. 123) and the conventional cell measures 4.0760, 4.0760 and 6.4838 Å, with angles of 90.00, 90.00 and 90.00 degrees. The inequivalent atoms are Ce at (0.0000, 0.0000, 0.0000), Pu at (0.5000, 0.5000, 0.2646) and Sb at (0.0000, 0.0000, 0.5000).

Which structure is the most stable? The one labeled (3).